1.
Entry from the Alexandria database: a relaxed structure of Th2SbAu (PBE).

a b c (Å): 6.290 4.347 8.835
angles (deg): 90.00 110.65 90.00
Fractional positions:
Th 0.209 0.250 0.438
Th 0.219 0.250 0.920
Th 0.781 0.750 0.080
Th 0.791 0.750 0.562
Sb 0.326 0.750 0.207
Sb 0.674 0.250 0.793
Au 0.332 0.750 0.707
Au 0.668 0.250 0.293

Summary:
Symmetry = P2_1/m
Uncorrected energy = -50.2 eV per cell

2.
Entry from the Alexandria database: a relaxed structure of Th5Sb5Au (PBE).

a b c (Å): 7.731 7.731 8.907
angles (deg): 106.88 106.88 48.37
Fractional positions:
Th 0.000 0.000 0.000
Th 0.337 0.337 0.670
Th 0.338 0.338 0.163
Th 0.662 0.662 0.837
Th 0.663 0.663 0.330
Sb 0.163 0.163 0.825
Sb 0.172 0.172 0.336
Sb 0.500 0.500 0.500
Sb 0.828 0.828 0.664
Sb 0.837 0.837 0.175
Au 0.500 0.500 0.000

Summary:
Symmetry = C2/m
Uncorrected energy = -68.3 eV per cell

3.
Entry from the Alexandria database: a relaxed structure of ThSb3Au3 (PBE).

a b c (Å): 7.489 7.489 7.489
angles (deg): 90.00 90.00 90.00
Fractional positions:
Th 0.000 0.000 0.000
Th 0.500 0.500 0.500
Sb 0.000 0.250 0.500
Sb 0.000 0.750 0.500
Sb 0.250 0.500 0.000
Sb 0.500 0.000 0.250
Sb 0.500 0.000 0.750
Sb 0.750 0.500 0.000
Au 0.000 0.500 0.250
Au 0.000 0.500 0.750
Au 0.250 0.000 0.500
Au 0.500 0.250 0.000
Au 0.500 0.750 0.000
Au 0.750 0.000 0.500

Summary:
Symmetry = Pm-3n
Uncorrected energy = -56.1 eV per cell

4.
Entry from the Alexandria database: a relaxed structure of Th5Sb4Au (PBE).

a b c (Å): 11.939 11.939 11.939
angles (deg): 158.71 149.17 37.77
Fractional positions:
Th 0.000 0.000 0.000
Th 0.201 0.201 0.000
Th 0.408 0.408 0.000
Th 0.592 0.592 0.000
Th 0.799 0.799 0.000
Sb 0.101 0.601 0.500
Sb 0.304 0.804 0.500
Sb 0.696 0.196 0.500
Sb 0.899 0.399 0.500
Au 0.500 0.000 0.500

Summary:
Symmetry = Immm
Uncorrected energy = -65.1 eV per cell

5.
Entry from the Alexandria database: a relaxed structure of TiSb2Au (PBE).

a b c (Å): 6.567 6.567 6.567
angles (deg): 37.69 37.69 37.69
Fractional positions:
Ti 0.000 0.000 0.000
Sb 0.411 0.411 0.411
Sb 0.591 0.591 0.591
Au 0.838 0.838 0.838

Summary:
Symmetry = R3m
Uncorrected energy = -19.6 eV per cell

6.
Entry from the Alexandria database: a relaxed structure of TiSb2Au (PBE).

a b c (Å): 4.767 4.767 3.684
angles (deg): 90.00 90.00 90.00
Fractional positions:
Ti 0.000 0.000 0.000
Sb 0.000 0.500 0.500
Sb 0.500 0.000 0.500
Au 0.500 0.500 0.000

Summary:
Symmetry = P4/mmm
Uncorrected energy = -19.8 eV per cell